(1)
The following is a DFT calculation (GGA-PBEsol) of KReRh2I after structural relaxation.

a b c (Å): 4.6198 4.6198 6.3899
angles (deg): 90.00 90.00 90.00
With the nearest neighbours (Å) after each atom.
Space group P4/mmm (No. 123)
One atom of each set of equivalent atoms:
K: 0.0000 0.0000 0.0000 (multiplicity 1)  2 Re 3.19, 4 I 3.27
Re: 0.0000 0.0000 0.5000 (multiplicity 1)  4 Rh 2.31
Rh: 0.0000 0.5000 0.5000 (multiplicity 2)  2 Re 2.31
I: 0.5000 0.5000 0.0000 (multiplicity 1)  4 K 3.27

***

(2)
The following is a DFT calculation (GGA-PBEsol) of KTeRhI2 after structural relaxation.

a b c (Å): 5.6357 5.6357 5.0134
angles (deg): 90.00 90.00 90.00
With the nearest neighbours (Å) after each atom.
Space group P4/mmm (No. 123)
One atom of each set of equivalent atoms:
K: 0.0000 0.0000 0.0000 (multiplicity 1)  8 I 3.77, 4 Te 3.99
Te: 0.5000 0.5000 0.0000 (multiplicity 1)  2 Rh 2.51
Rh: 0.5000 0.5000 0.5000 (multiplicity 1)  2 Te 2.51
I: 0.0000 0.5000 0.5000 (multiplicity 2)  2 Rh 2.82

***

(3)
The following is a DFT calculation (GGA-PBEsol) of KSI3 after structural relaxation.

a b c (Å): 5.5845 5.5845 5.5845
angles (deg): 90.00 90.00 90.00
With the nearest neighbours (Å) after each atom.
Space group Pm-3m (No. 221)
One atom of each set of equivalent atoms:
K: 0.0000 0.0000 0.0000 (multiplicity 1)  12 I 3.95
S: 0.5000 0.5000 0.5000 (multiplicity 1)  6 I 2.79
I: 0.0000 0.5000 0.5000 (multiplicity 3)  2 S 2.79

***

(4)
The following is a DFT calculation (GGA-PBEsol) of KSnSbI2 after structural relaxation.

a b c (Å): 6.1479 6.1479 5.6857
angles (deg): 90.00 90.00 90.00
With the nearest neighbours (Å) after each atom.
Space group P4/mmm (No. 123)
One atom of each set of equivalent atoms:
K: 0.0000 0.0000 0.0000 (multiplicity 1)  8 I 4.19, 4 Sb 4.35
Sn: 0.5000 0.5000 0.5000 (multiplicity 1)  2 Sb 2.84, 4 I 3.07
Sb: 0.5000 0.5000 0.0000 (multiplicity 1)  2 Sn 2.84
I: 0.0000 0.5000 0.5000 (multiplicity 2)  2 Sn 3.07

***

(5)
The following is a DFT calculation (GGA-PBEsol) of KSbTeI2 after structural relaxation.

a b c (Å): 6.0186 6.0186 6.1396
angles (deg): 90.00 90.00 90.00
With the nearest neighbours (Å) after each atom.
Space group P4/mmm (No. 123)
One atom of each set of equivalent atoms:
K: 0.0000 0.0000 0.0000 (multiplicity 1)  4 I 3.01, 2 Te 3.07
Sb: 0.5000 0.5000 0.5000 (multiplicity 1)  4 Te 4.26, 8 I 4.30
Te: 0.0000 0.0000 0.5000 (multiplicity 1)  2 K 3.07
I: 0.0000 0.5000 0.0000 (multiplicity 2)  2 K 3.01

***

(6)
The following is a DFT calculation (GGA-PBEsol) of KTlSb2I after structural relaxation.

a b c (Å): 5.6436 5.6436 6.6267
angles (deg): 90.00 90.00 90.00
With the nearest neighbours (Å) after each atom.
Space group P4/mmm (No. 123)
One atom of each set of equivalent atoms:
K: 0.0000 0.0000 0.0000 (multiplicity 1)  4 I 3.99, 8 Sb 4.35
Tl: 0.5000 0.5000 0.5000 (multiplicity 1)  4 Sb 2.82
Sb: 0.0000 0.5000 0.5000 (multiplicity 2)  2 Tl 2.82
I: 0.5000 0.5000 0.0000 (multiplicity 1)  2 Tl 3.31

***

(7)
The following is a DFT calculation (GGA-PBEsol) of KSbWI2 after structural relaxation.

a b c (Å): 5.7548 5.7548 5.1703
angles (deg): 90.00 90.00 90.00
With the nearest neighbours (Å) after each atom.
Space group P4/mmm (No. 123)
One atom of each set of equivalent atoms:
K: 0.0000 0.0000 0.0000 (multiplicity 1)  8 I 3.87, 4 Sb 4.07
Sb: 0.5000 0.5000 0.0000 (multiplicity 1)  2 W 2.59
W: 0.5000 0.5000 0.5000 (multiplicity 1)  2 Sb 2.59, 4 I 2.88
I: 0.0000 0.5000 0.5000 (multiplicity 2)  2 W 2.88

***

(8)
The following is a DFT calculation (GGA-PBEsol) of KZrSb2I after structural relaxation.

a b c (Å): 5.4909 5.4909 6.0392
angles (deg): 90.00 90.00 90.00
With the nearest neighbours (Å) after each atom.
Space group P4/mmm (No. 123)
One atom of each set of equivalent atoms:
K: 0.0000 0.0000 0.0000 (multiplicity 1)  4 I 3.88, 8 Sb 4.08
Zr: 0.5000 0.5000 0.5000 (multiplicity 1)  4 Sb 2.75, 2 I 3.02
Sb: 0.0000 0.5000 0.5000 (multiplicity 2)  2 Zr 2.75
I: 0.5000 0.5000 0.0000 (multiplicity 1)  2 Zr 3.02

***

(9)
The following is a DFT calculation (GGA-PBEsol) of KSc2I after structural relaxation.

a b c (Å): 7.4974 7.4974 7.4974
angles (deg): 90.00 90.00 90.00
With the nearest neighbours (Å) after each atom.
Space group Fm-3m (No. 225)
One atom of each set of equivalent atoms:
K: 0.0000 0.0000 0.0000 (multiplicity 4)  8 Sc 3.25
Sc: 0.2500 0.2500 0.2500 (multiplicity 8)  4 K 3.25, 4 I 3.25
I: 0.0000 0.0000 0.5000 (multiplicity 4)  8 Sc 3.25

***

(10)
The following is a DFT calculation (GGA-PBEsol) of KScI3 after structural relaxation.

a b c (Å): 5.7290 5.7290 5.7290
angles (deg): 90.00 90.00 90.00
With the nearest neighbours (Å) after each atom.
Space group Pm-3m (No. 221)
One atom of each set of equivalent atoms:
K: 0.0000 0.0000 0.0000 (multiplicity 1)  12 I 4.05
Sc: 0.5000 0.5000 0.5000 (multiplicity 1)  6 I 2.86
I: 0.0000 0.5000 0.5000 (multiplicity 3)  2 Sc 2.86

## Properties
Energy above the most stable polymorph in this dataset (meV/atom): 0

***

(11)
The following is a DFT calculation (GGA-PBEsol) of KScI3 after structural relaxation.

a b c (Å): 6.0632 6.0632 6.0632
angles (deg): 90.00 90.00 90.00
With the nearest neighbours (Å) after each atom.
Space group Pm-3m (No. 221)
One atom of each set of equivalent atoms:
K: 0.0000 0.0000 0.0000 (multiplicity 1)  6 I 3.03
Sc: 0.5000 0.5000 0.5000 (multiplicity 1)  12 I 4.29
I: 0.0000 0.0000 0.5000 (multiplicity 3)  2 K 3.03

## Properties
Energy above the most stable polymorph in this dataset (meV/atom): 1048

***

(12)
The following is a DFT calculation (GGA-PBEsol) of KSc3I after structural relaxation.

a b c (Å): 5.4447 5.4447 5.4447
angles (deg): 90.00 90.00 90.00
With the nearest neighbours (Å) after each atom.
Space group Pm-3m (No. 221)
One atom of each set of equivalent atoms:
K: 0.0000 0.0000 0.0000 (multiplicity 1)  12 Sc 3.85
Sc: 0.0000 0.5000 0.5000 (multiplicity 3)  2 I 2.72
I: 0.5000 0.5000 0.5000 (multiplicity 1)  6 Sc 2.72

***

Here are the calculated energy relative to the elements, uncorrected numbers, same order: 1.10; -0.41; -0.48; -0.28; 0.55; 0.15; 0.17; -0.37; 0.48; -1.14; -0.09; 0.49 (eV/atom).
Here are the calculated magnetization numbers, same order: 0.0; 0.0; 0.0; 1.4; 0.0; 1.4; 1.8; 0.0; 0.0; 0.0; 1.0; 0.0 (Bohr magnetons per cell).